Record 1
# TiPdCl2 meta-GGA SCAN PBEsol geometry
data_TiPdCl2
_space_group_name_H-M_alt 'R -3 m'
_space_group_IT_number 166
_space_group_name_Hall '-R 3 2"'
_cell_length_a 3.0963
_cell_length_b 3.0963
_cell_length_c 23.9727
_cell_angle_alpha 90.00
_cell_angle_beta 90.00
_cell_angle_gamma 120.00
loop_
_atom_site_label
_atom_site_type_symbol
_atom_site_fract_x
_atom_site_fract_y
_atom_site_fract_z
Ti1 Ti 0.0000 0.0000 0.0000
Pd1 Pd 0.0000 0.0000 0.5000
Cl1 Cl 0.0000 0.0000 0.4021
# V	16.6	Å³ per atom
# formation energy (no corrections)	-317	kJ/mol of formula units
# VASP energy	-17.01	eV per atom
# energy above the most stable polymorph in this dataset	0.0000	eV/atom

Record 2
# Tc2AsSe meta-GGA SCAN PBEsol geometry
data_Tc2AsSe
_space_group_name_H-M_alt 'F m -3 m'
_space_group_IT_number 225
_space_group_name_Hall '-F 4 2 3'
_cell_length_a 6.1031
_cell_length_b 6.1031
_cell_length_c 6.1031
_cell_angle_alpha 90.00
_cell_angle_beta 90.00
_cell_angle_gamma 90.00
loop_
_atom_site_label
_atom_site_type_symbol
_atom_site_fract_x
_atom_site_fract_y
_atom_site_fract_z
Tc1 Tc 0.2500 0.2500 0.2500
As1 As 0.0000 0.0000 0.0000
Se1 Se 0.0000 0.0000 0.5000
# V	14.2	Å³ per atom
# formation energy (no corrections)	26	kJ/mol of formula units
# VASP energy	-27.53	eV per atom

Record 3
# LiAl5 meta-GGA SCAN PBEsol geometry
data_LiAl5
_space_group_name_H-M_alt 'P 1 m 1'
_space_group_IT_number 6
_space_group_name_Hall 'P -2y'
_cell_length_a 2.8067
_cell_length_b 4.7522
_cell_length_c 7.4430
_cell_angle_alpha 90.00
_cell_angle_beta 100.64
_cell_angle_gamma 90.00
loop_
_atom_site_label
_atom_site_type_symbol
_atom_site_fract_x
_atom_site_fract_y
_atom_site_fract_z
Li1 Li 0.0000 0.0000 0.0000
Al1 Al 0.2216 0.5000 0.4468
Al2 Al 0.3318 0.0000 0.6649
Al3 Al 0.5567 0.5000 0.1147
Al4 Al 0.6651 0.0000 0.3314
Al5 Al 0.8897 0.5000 0.7812
# V	16.3	Å³ per atom
# VASP energy	-6.87	eV per atom
# energy above the most stable polymorph in this dataset	0.0220	eV/atom

Record 4
# BeTcI2 meta-GGA SCAN PBEsol geometry
data_BeTcI2
_space_group_name_H-M_alt 'I -4 2 d'
_space_group_IT_number 122
_space_group_name_Hall 'I -4 2bw'
_cell_length_a 5.7762
_cell_length_b 5.7762
_cell_length_c 11.2992
_cell_angle_alpha 90.00
_cell_angle_beta 90.00
_cell_angle_gamma 90.00
loop_
_atom_site_label
_atom_site_type_symbol
_atom_site_fract_x
_atom_site_fract_y
_atom_site_fract_z
Be1 Be 0.0000 0.0000 0.0000
Tc1 Tc 0.0000 0.0000 0.5000
I1 I 0.2256 0.2500 0.1250
# V	23.6	Å³ per atom
# formation energy (no corrections)	328	kJ/mol of formula units
# VASP energy	-27.37	eV per atom

Record 5
# SrCdHg2 meta-GGA SCAN PBEsol geometry
data_SrCdHg2
_space_group_name_H-M_alt 'P 1 m 1'
_space_group_IT_number 6
_space_group_name_Hall 'P -2y'
_cell_length_a 3.6938
_cell_length_b 5.0224
_cell_length_c 5.8314
_cell_angle_alpha 90.00
_cell_angle_beta 90.39
_cell_angle_gamma 90.00
loop_
_atom_site_label
_atom_site_type_symbol
_atom_site_fract_x
_atom_site_fract_y
_atom_site_fract_z
Sr1 Sr 0.0000 0.0000 0.0000
Cd1 Cd 0.5045 0.5000 0.2710
Hg1 Hg 0.4970 0.5000 0.7716
Hg2 Hg 0.4990 0.0000 0.5031
# V	27.0	Å³ per atom
# VASP energy	-47.66	eV per atom

Record 6
# SbSeI2N meta-GGA SCAN PBEsol geometry
data_SbSeI2N
_space_group_name_H-M_alt 'P 4/m m m'
_space_group_IT_number 123
_space_group_name_Hall '-P 4 2'
_cell_length_a 5.7181
_cell_length_b 5.7181
_cell_length_c 5.5809
_cell_angle_alpha 90.00
_cell_angle_beta 90.00
_cell_angle_gamma 90.00
loop_
_atom_site_label
_atom_site_type_symbol
_atom_site_fract_x
_atom_site_fract_y
_atom_site_fract_z
Sb1 Sb 0.0000 0.0000 0.0000
Se1 Se 0.0000 0.0000 0.5000
I1 I 0.0000 0.5000 0.5000
N1 N 0.5000 0.5000 0.0000
# V	36.5	Å³ per atom
# formation energy (no corrections)	620	kJ/mol of formula units
# VASP energy	-26.74	eV per atom

Record 7
# Ta2ReSnIr meta-GGA SCAN PBEsol geometry
data_Ta2ReSnIr
_space_group_name_H-M_alt 'P 4/m m m'
_space_group_IT_number 123
_space_group_name_Hall '-P 4 2'
_cell_length_a 4.7501
_cell_length_b 4.7501
_cell_length_c 4.8698
_cell_angle_alpha 90.00
_cell_angle_beta 90.00
_cell_angle_gamma 90.00
loop_
_atom_site_label
_atom_site_type_symbol
_atom_site_fract_x
_atom_site_fract_y
_atom_site_fract_z
Ta1 Ta 0.0000 0.5000 0.0000
Re1 Re 0.0000 0.0000 0.0000
Sn1 Sn 0.0000 0.0000 0.5000
Ir1 Ir 0.5000 0.5000 0.5000
# V	22.0	Å³ per atom
# VASP energy	-60.73	eV per atom

Record 8
# KBSI2 meta-GGA SCAN PBEsol geometry
data_KBSI2
_space_group_name_H-M_alt 'P 4/m m m'
_space_group_IT_number 123
_space_group_name_Hall '-P 4 2'
_cell_length_a 6.3204
_cell_length_b 6.3204
_cell_length_c 5.5499
_cell_angle_alpha 90.00
_cell_angle_beta 90.00
_cell_angle_gamma 90.00
loop_
_atom_site_label
_atom_site_type_symbol
_atom_site_fract_x
_atom_site_fract_y
_atom_site_fract_z
K1 K 0.0000 0.0000 0.0000
B1 B 0.5000 0.5000 0.5000
S1 S 0.0000 0.0000 0.5000
I1 I 0.0000 0.5000 0.0000
# V	44.3	Å³ per atom
# formation energy (no corrections)	582	kJ/mol of formula units
# VASP energy	-18.57	eV per atom

Record 9
# Hg2Sb3 meta-GGA SCAN PBEsol geometry
data_Hg2Sb3
_space_group_name_H-M_alt 'R -3 m'
_space_group_IT_number 166
_space_group_name_Hall '-R 3 2"'
_cell_length_a 4.1792
_cell_length_b 4.1792
_cell_length_c 26.5189
_cell_angle_alpha 90.00
_cell_angle_beta 90.00
_cell_angle_gamma 120.00
loop_
_atom_site_label
_atom_site_type_symbol
_atom_site_fract_x
_atom_site_fract_y
_atom_site_fract_z
Hg1 Hg 0.0000 0.0000 0.1032
Sb1 Sb 0.0000 0.0000 0.3006
Sb2 Sb 0.0000 0.0000 0.5000
# V	26.7	Å³ per atom
# formation energy (no corrections)	27	kJ/mol of formula units
# VASP energy	-49.57	eV per atom

Record 10
# HfZrHgP2 meta-GGA SCAN PBEsol geometry
data_HfZrHgP2
_space_group_name_H-M_alt 'P 4/m m m'
_space_group_IT_number 123
_space_group_name_Hall '-P 4 2'
_cell_length_a 4.8614
_cell_length_b 4.8614
_cell_length_c 5.3184
_cell_angle_alpha 90.00
_cell_angle_beta 90.00
_cell_angle_gamma 90.00
loop_
_atom_site_label
_atom_site_type_symbol
_atom_site_fract_x
_atom_site_fract_y
_atom_site_fract_z
Hf1 Hf 0.0000 0.0000 0.0000
Zr1 Zr 0.0000 0.0000 0.5000
Hg1 Hg 0.5000 0.5000 0.0000
P1 P 0.0000 0.5000 0.5000
# V	25.1	Å³ per atom
# VASP energy	-35.81	eV per atom

Record 11
# Cd2AgHg meta-GGA SCAN PBEsol geometry
data_Cd2AgHg
_space_group_name_H-M_alt 'P 1'
_space_group_IT_number 1
_space_group_name_Hall 'P 1'
_cell_length_a 4.2499
_cell_length_b 4.2642
_cell_length_c 5.1489
_cell_angle_alpha 66.43
_cell_angle_beta 67.08
_cell_angle_gamma 87.60
loop_
_atom_site_label
_atom_site_type_symbol
_atom_site_fract_x
_atom_site_fract_y
_atom_site_fract_z
Cd1 Cd 0.0000 0.0000 0.0000
Cd2 Cd 0.2508 0.7488 0.5007
Ag1 Ag 0.7529 0.2488 0.4993
Hg1 Hg 0.5025 0.4981 0.0001
# V	19.5	Å³ per atom
# VASP energy	-40.09	eV per atom

Record 12
# Ti2Cu3Te3O16 meta-GGA SCAN PBEsol geometry
data_Ti2Cu3Te3O16
_space_group_name_H-M_alt 'C 1 m 1'
_space_group_IT_number 8
_space_group_name_Hall 'C -2y'
_cell_length_a 11.0489
_cell_length_b 5.8793
_cell_length_c 9.0905
_cell_angle_alpha 90.00
_cell_angle_beta 93.55
_cell_angle_gamma 90.00
loop_
_atom_site_label
_atom_site_type_symbol
_atom_site_fract_x
_atom_site_fract_y
_atom_site_fract_z
Ti1 Ti 0.0000 0.0000 0.0000
Ti2 Ti 0.1673 0.5000 0.4563
Cu1 Cu 0.1181 0.0000 0.6981
Cu2 Cu 0.2307 0.2504 0.1871
Te1 Te 0.3704 0.2495 0.7108
Te2 Te 0.4836 0.0000 0.2118
O1 O 0.0260 0.2181 0.8144
O2 O 0.0579 0.2897 0.3579
O3 O 0.1326 0.5000 0.1024
O4 O 0.1506 0.0000 0.0782
O5 O 0.2122 0.2476 0.6082
O6 O 0.2799 0.5000 0.3236
O7 O 0.3153 0.0000 0.8345
O8 O 0.3188 0.5000 0.8422
O9 O 0.3223 0.0000 0.2829
O10 O 0.4143 0.5000 0.5794
O11 O 0.4254 0.2534 0.0866
O12 O 0.4315 0.0000 0.5927
# V	12.3	Å³ per atom
# formation energy (no corrections)	-3302	kJ/mol of formula units
# VASP energy	-13.47	eV per atom